A plane-wave DFT calculation with meta-GGA SCAN was carried out for a crystal of ScTl3F relaxed with PBEsol.

The structure belongs to space group Pm-3m (No. 221); the cell edges are 5.635, 5.635 and 5.635 Å and the angles 90.00°, 90.00° and 90.00°. The inequivalent atoms are Sc at (0.000, 0.000, 0.000), Tl at (0.000, 0.000, 0.500) and F at (0.500, 0.500, 0.500).

The energy relative to the elements, uncorrected is 0.06 eV per atom. Its size of the total moment is 2.67 μB/cell.